1.
A relaxed CaAgGe crystal. Source: Alexandria via LeMat-Bulk, functional PBE.

Values from the calculation:
Total magnetization ... 0.0 Bohr magnetons per cell
Total DFT energy (no corrections) ... -3.61 eV/atom
Energy relative to the elements ... -458 meV per atom

Lattice parameters (Å, degrees): 4.550 7.307 7.951 90.00 90.00 90.00
Fractional positions:
1 Ca 0.750 0.504 0.204
2 Ca 0.250 0.496 0.796
3 Ca 0.250 0.996 0.704
4 Ca 0.750 0.004 0.296
5 Ag 0.250 0.812 0.078
6 Ag 0.750 0.688 0.578
7 Ag 0.750 0.188 0.922
8 Ag 0.250 0.312 0.422
9 Ge 0.750 0.295 0.595
10 Ge 0.250 0.705 0.405
11 Ge 0.250 0.205 0.095
12 Ge 0.750 0.795 0.905

***

2.
A relaxed Ca3Ag2Ge2 crystal. Source: Alexandria via LeMat-Bulk, functional PBE.

Values from the calculation:
Total magnetization ... 0.0 Bohr magnetons per cell
Total DFT energy (no corrections) ... -3.48 eV/atom
Energy relative to the elements ... -484 meV per atom

Lattice parameters (Å, degrees): 5.936 8.038 14.061 90.00 90.00 90.00
Fractional positions:
1 Ge 0.833 0.369 0.250
2 Ge 0.283 0.250 0.500
3 Ge 0.717 0.750 0.500
4 Ge 0.717 0.750 0.000
5 Ge 0.833 0.131 0.750
6 Ge 0.283 0.250 0.000
7 Ge 0.167 0.869 0.250
8 Ge 0.167 0.631 0.750
9 Ca 0.650 0.774 0.750
10 Ca 0.115 0.586 0.110
11 Ca 0.885 0.086 0.110
12 Ca 0.650 0.726 0.250
13 Ca 0.885 0.414 0.610
14 Ca 0.885 0.414 0.890
15 Ca 0.350 0.226 0.250
16 Ca 0.885 0.086 0.390
17 Ca 0.115 0.586 0.390
18 Ca 0.350 0.274 0.750
19 Ca 0.115 0.914 0.890
20 Ca 0.115 0.914 0.610
21 Ag 0.608 0.064 0.586
22 Ag 0.392 0.564 0.914
23 Ag 0.392 0.936 0.414
24 Ag 0.608 0.064 0.914
25 Ag 0.392 0.936 0.086
26 Ag 0.608 0.436 0.086
27 Ag 0.392 0.564 0.586
28 Ag 0.608 0.436 0.414

***

3.
A relaxed CaAgGe crystal. Source: Alexandria via LeMat-Bulk, functional PBE.

Values from the calculation:
Total magnetization ... 0.0 Bohr magnetons per cell
Total DFT energy (no corrections) ... -3.63 eV/atom
Energy relative to the elements ... -469 meV per atom

Lattice parameters (Å, degrees): 4.639 4.639 7.077 90.00 90.00 120.00
Fractional positions:
1 Ge 0.667 0.333 0.211
2 Ge 0.667 0.333 0.789
3 Ag 0.000 0.000 0.253
4 Ag 0.000 0.000 0.747
5 Ca 0.333 0.667 0.000
6 Ca 0.333 0.667 0.500

***

4.
A relaxed CaAgGe crystal. Source: Alexandria via LeMat-Bulk, functional PBE.

Values from the calculation:
Total magnetization ... 0.0 Bohr magnetons per cell
Total DFT energy (no corrections) ... -3.46 eV/atom
Energy relative to the elements ... -306 meV per atom

Lattice parameters (Å, degrees): 5.715 5.954 4.966 90.00 125.13 90.00
Fractional positions:
1 Ca 0.644 0.250 0.288
2 Ca 0.356 0.750 0.712
3 Ge 0.273 0.250 0.546
4 Ge 0.727 0.750 0.454
5 Ag 0.000 0.000 0.000
6 Ag 0.000 0.500 0.000

***

5.
A relaxed Ca2AgGe2 crystal. Source: Alexandria via LeMat-Bulk, functional PBE.

Values from the calculation:
Total magnetization ... 0.0 Bohr magnetons per cell
Relative energy among the computed polymorphs ... 452 meV per atom
Total DFT energy (no corrections) ... -3.32 eV/atom
Energy relative to the elements ... -99 meV per atom

Lattice parameters (Å, degrees): 8.843 8.843 3.154 90.00 90.00 90.00
Fractional positions:
1 Ag 0.500 0.500 0.000
2 Ag 0.000 0.000 0.000
3 Ca 0.129 0.371 0.000
4 Ca 0.629 0.129 0.000
5 Ca 0.871 0.629 0.000
6 Ca 0.371 0.871 0.000
7 Ge 0.325 0.175 0.500
8 Ge 0.675 0.825 0.500
9 Ge 0.825 0.325 0.500
10 Ge 0.175 0.675 0.500

***

6.
A relaxed Ca2Ag2Ge crystal. Source: Alexandria via LeMat-Bulk, functional PBE.

Values from the calculation:
Total magnetization ... 0.0 Bohr magnetons per cell
Relative energy among the computed polymorphs ... 141 meV per atom
Total DFT energy (no corrections) ... -3.12 eV/atom
Energy relative to the elements ... -258 meV per atom

Lattice parameters (Å, degrees): 3.804 3.804 9.194 78.06 78.06 90.00
Fractional positions:
1 Ag 0.750 0.250 0.500
2 Ag 0.250 0.750 0.500
3 Ge 0.000 0.000 0.000
4 Ca 0.600 0.600 0.800
5 Ca 0.400 0.400 0.200

***

7.
A relaxed CaAg2Ge crystal. Source: Alexandria via LeMat-Bulk, functional PBE.

Values from the calculation:
Total magnetization ... 0.0 Bohr magnetons per cell
Total DFT energy (no corrections) ... -3.37 eV/atom
Energy relative to the elements ... -286 meV per atom

Lattice parameters (Å, degrees): 6.003 6.076 4.678 90.00 90.00 90.00
Fractional positions:
1 Ca 0.500 0.394 0.000
2 Ca 0.000 0.606 0.500
3 Ag 0.244 0.130 0.500
4 Ag 0.256 0.870 0.000
5 Ag 0.756 0.130 0.500
6 Ag 0.744 0.870 0.000
7 Ge 0.500 0.745 0.500
8 Ge 0.000 0.255 0.000

***

8.
A relaxed CaAgGe crystal. Source: Alexandria via LeMat-Bulk, functional PBE.

Values from the calculation:
Total magnetization ... 0.0 Bohr magnetons per cell
Total DFT energy (no corrections) ... -3.60 eV/atom
Energy relative to the elements ... -441 meV per atom

Lattice parameters (Å, degrees): 5.833 5.833 7.367 51.63 51.63 46.06
Fractional positions:
1 Ca 0.548 0.548 0.206
2 Ca 0.452 0.452 0.794
3 Ag 0.174 0.174 0.390
4 Ag 0.826 0.826 0.610
5 Ge 0.154 0.154 0.797
6 Ge 0.846 0.846 0.203

***

9.
A relaxed CaAg2Ge crystal. Source: Alexandria via LeMat-Bulk, functional PBE.

Values from the calculation:
Total magnetization ... 0.0 Bohr magnetons per cell
Total DFT energy (no corrections) ... -3.38 eV/atom
Energy relative to the elements ... -301 meV per atom

Lattice parameters (Å, degrees): 5.861 5.861 5.323 90.00 90.00 90.00
Fractional positions:
1 Ca 0.500 0.500 0.000
2 Ca 0.000 0.000 0.000
3 Ag 0.250 0.250 0.500
4 Ag 0.250 0.750 0.500
5 Ag 0.750 0.250 0.500
6 Ag 0.750 0.750 0.500
7 Ge 0.000 0.500 0.812
8 Ge 0.500 0.000 0.188

***

10.
A relaxed CaAgGe3 crystal. Source: Alexandria via LeMat-Bulk, functional PBE.

Values from the calculation:
Total magnetization ... 0.9 Bohr magnetons per cell
Relative energy among the computed polymorphs ... 783 meV per atom
Total DFT energy (no corrections) ... -2.66 eV/atom
Energy relative to the elements ... 1085 meV per atom

Lattice parameters (Å, degrees): 5.392 5.392 5.392 90.00 90.00 90.00
Each line ends with the local moment (μB).
Fractional positions:
1 Ca 0.000 0.000 0.000  0.14
2 Ge 0.000 0.500 0.000  0.11
3 Ge 0.500 0.000 0.000  0.12
4 Ge 0.000 0.000 0.500  0.11
5 Ag 0.500 0.500 0.500  0.01

***

11.
A relaxed CaAg2Ge crystal. Source: Alexandria via LeMat-Bulk, functional PBE.

Values from the calculation:
Total magnetization ... 0.0 Bohr magnetons per cell
Total DFT energy (no corrections) ... -3.33 eV/atom
Energy relative to the elements ... -248 meV per atom

Lattice parameters (Å, degrees): 4.666 5.739 7.603 107.01 90.36 114.02
Fractional positions:
1 Ag 0.088 0.108 0.891
2 Ag 0.677 0.309 0.314
3 Ag 0.962 0.856 0.254
4 Ag 0.194 0.335 0.550
5 Ge 0.715 0.359 0.972
6 Ge 0.823 0.587 0.694
7 Ca 0.404 0.742 0.978
8 Ca 0.493 0.926 0.564

***

12.
A relaxed Ca2Ag2Ge crystal. Source: Alexandria via LeMat-Bulk, functional PBE.

Values from the calculation:
Total magnetization ... 0.0 Bohr magnetons per cell
Relative energy among the computed polymorphs ... 0 meV per atom
Total DFT energy (no corrections) ... -3.26 eV/atom
Energy relative to the elements ... -399 meV per atom

Lattice parameters (Å, degrees): 5.981 5.877 8.110 104.99 90.00 120.59
Fractional positions:
1 Ge 0.207 0.000 0.750
2 Ge 0.793 0.000 0.250
3 Ag 0.251 0.251 0.484
4 Ag 0.000 0.749 0.016
5 Ag 0.000 0.251 0.984
6 Ag 0.749 0.749 0.516
7 Ca 0.470 0.688 0.852
8 Ca 0.218 0.688 0.352
9 Ca 0.530 0.312 0.148
10 Ca 0.782 0.312 0.648